# 1
## Ga11Cu9Ni4 (GGA-PBE)

Data for a relaxed Ga11Cu9Ni4 crystal.

```
Ga11Cu9Ni4
1.0
6.246 -9.306 0.000
6.246 9.306 0.000
0.000 0.000 2.781
Ga Cu Ni
11 9 4
Cartesian
0.000 0.000 0.000
2.913 3.302 0.000
6.246 6.386 0.000
3.772 0.000 0.000
6.246 2.554 0.000
2.913 -3.302 0.000
9.580 3.302 0.000
6.246 -2.554 0.000
8.720 0.000 0.000
6.246 -6.386 0.000
9.580 -3.302 0.000
1.797 1.307 1.391
4.962 4.489 1.391
1.797 -1.307 1.391
7.531 4.489 1.391
6.246 0.000 1.391
4.962 -4.489 1.391
10.696 1.307 1.391
7.531 -4.489 1.391
10.696 -1.307 1.391
4.366 1.894 1.391
4.366 -1.894 1.391
8.127 1.894 1.391
8.127 -1.894 1.391
```

Crystal system: orthorhombic
Space group: Cmmm
Formation energy from the elements, eV per atom: -0.143

=====

# 2
## Zr2NiTe (GGA-PBE)

Data for a relaxed Zr2NiTe crystal.

```
Zr2NiTe
1.0
-2.034 2.034 4.740
2.034 -2.034 4.740
2.034 2.034 -4.740
Zr Ni Te
2 1 1
Cartesian
0.000 0.000 0.000
0.000 2.034 2.370
2.034 0.000 2.370
0.000 0.000 4.740
```

Crystal system: tetragonal
Formation energy (no corrections), meV per atom: -267
Space group: I-4m2

=====

# 3
## HfAuI6 (GGA-PBE)

Data for a relaxed HfAuI6 crystal.

```
HfAuI6
1.0
4.168 -6.271 0.000
4.168 6.271 0.000
-3.412 0.000 7.098
Hf Au I
1 1 6
Cartesian
0.000 0.000 0.000
-1.706 0.000 3.549
3.188 4.218 1.788
1.736 4.218 5.310
2.437 0.000 1.334
2.487 0.000 5.764
3.188 -4.218 1.788
1.736 -4.218 5.310
```

Crystal system: monoclinic
Formation energy (no corrections), meV per atom: -510
Energy relative to the lowest polymorph listed for this composition, meV/atom: 0.0
Space group: C2/m

=====

# 4
## TcAgB3 (GGA-PBE)

Data for a relaxed TcAgB3 crystal.

```
TcAgB3
1.0
4.091 0.000 0.000
0.000 4.091 0.000
0.000 0.000 4.091
Tc Ag B
1 1 3
Cartesian
0.000 0.000 0.000
2.045 2.045 2.045
0.000 2.045 2.045
2.045 0.000 2.045
2.045 2.045 0.000
```

Crystal system: cubic
Energy relative to the lowest polymorph listed for this composition, meV/atom: 1271.6
Space group: Pm-3m
Formation energy from the elements, eV per atom: 2.352

=====

# 5
## Na2SrIrPt (GGA-PBE)

Data for a relaxed Na2SrIrPt crystal.

```
Na2SrIrPt
1.0
5.200 0.000 0.000
0.000 5.200 0.000
0.000 0.000 5.749
Na Sr Ir Pt
2 1 1 1
Cartesian
0.000 2.600 0.000
2.600 0.000 0.000
0.000 0.000 2.875
2.600 2.600 2.875
0.000 0.000 0.000
```

Crystal system: tetragonal
Space group: P4/mmm
Formation energy from the elements, eV per atom: 0.616

=====

# 6
## CrHg2Ir (GGA-PBE)

Data for a relaxed CrHg2Ir crystal.

```
CrHg2Ir
1.0
-3.781 3.781 2.814
3.781 -3.781 2.814
3.781 3.781 -2.814
Cr Hg Ir
2 4 2
Cartesian
0.000 0.000 0.000
0.000 3.781 1.407
1.890 1.959 -0.704
5.603 1.890 0.704
1.890 1.822 2.111
-1.822 1.890 3.518
3.781 0.000 1.407
0.000 0.000 2.814
```

Crystal system: tetragonal
Energy relative to the lowest polymorph listed for this composition, meV/atom: 568.6
Space group: I-42d
Formation energy from the elements, eV per atom: 0.791

=====

# 7
## Mn3VHg (GGA-PBE)

Data for a relaxed Mn3VHg crystal.

```
Mn3VHg
1.0
4.988 0.000 0.000
0.000 4.988 0.000
0.000 0.000 4.988
Mn V Hg
3 1 1
Cartesian
0.000 0.000 2.494
0.000 2.494 0.000
2.494 0.000 0.000
2.494 2.494 2.494
0.000 0.000 0.000
```

Crystal system: cubic
Energy relative to the lowest polymorph listed for this composition, meV/atom: 712.7
Space group: Pm-3m
Formation energy from the elements, eV per atom: 1.625

=====

# 8
## Mn2Be2Ni (GGA-PBE)

Data for a relaxed Mn2Be2Ni crystal.

```
Mn2Be2Ni
1.0
5.745 0.000 0.000
0.000 5.745 0.000
0.000 0.000 3.088
Mn Be Ni
4 4 2
Cartesian
0.969 1.904 0.000
1.904 4.776 0.000
3.841 0.969 0.000
4.776 3.841 0.000
0.745 3.618 1.544
2.127 0.745 1.544
3.618 4.999 1.544
4.999 2.127 1.544
0.000 0.000 1.544
2.872 2.872 1.544
```

Crystal system: tetragonal
Space group: P4/mbm
Formation energy from the elements, eV per atom: -0.114

=====

# 9
## La3InSe (GGA-PBE)

Data for a relaxed La3InSe crystal.

```
La3InSe
1.0
5.660 0.000 0.000
0.000 5.660 0.000
0.000 0.000 5.660
La In Se
3 1 1
Cartesian
0.000 0.000 2.830
0.000 2.830 0.000
2.830 0.000 0.000
2.830 2.830 2.830
0.000 0.000 0.000
```

Crystal system: cubic
Formation energy (no corrections), meV per atom: -742
Energy relative to the lowest polymorph listed for this composition, meV/atom: 0.0
Space group: Pm-3m

=====

# 10
## CaOs2Au (GGA-PBE)

Data for a relaxed CaOs2Au crystal.

```
CaOs2Au
1.0
4.118 -1.408 0.000
4.118 1.408 0.000
-0.959 0.000 6.806
Ca Os Au
1 2 1
Cartesian
0.000 0.000 0.000
1.395 0.000 4.729
3.579 0.000 3.811
6.015 0.000 1.963
```

Crystal system: monoclinic
Energy relative to the lowest polymorph listed for this composition, meV/atom: 191.7
Space group: Cm
Formation energy from the elements, eV per atom: 0.382

=====

# 11
## NaBi12Au7 (GGA-PBE)

Data for a relaxed NaBi12Au7 crystal.

```
NaBi12Au7
1.0
7.822 4.516 2.671
-7.822 4.516 2.671
0.000 -9.032 2.671
Na Bi Au
1 12 7
Cartesian
0.000 0.000 0.000
-5.300 1.630 2.518
-2.202 -2.033 2.919
1.238 -5.405 2.518
-4.062 -3.775 5.495
-0.660 2.924 2.919
-2.862 0.891 5.094
2.862 -0.891 2.919
0.660 -2.924 5.094
4.062 3.775 2.518
-1.238 5.405 5.495
2.202 2.033 5.094
5.300 -1.630 5.495
-2.381 0.683 2.025
0.600 -2.404 2.025
1.782 1.721 2.025
0.000 0.000 4.007
-1.782 -1.721 5.988
-0.600 2.404 5.988
2.381 -0.683 5.988
```

Crystal system: trigonal
Space group: R-3
Formation energy from the elements, eV per atom: -0.032

=====

# 12
## ZrInIrOs (GGA-PBE)

Data for a relaxed ZrInIrOs crystal.

```
ZrInIrOs
1.0
0.000 3.264 3.264
3.264 0.000 3.264
3.264 3.264 0.000
Zr In Ir Os
1 1 1 1
Cartesian
0.000 0.000 0.000
3.264 3.264 3.264
1.632 1.632 1.632
4.896 4.896 4.896
```

Crystal system: cubic
Space group: F-43m
Formation energy from the elements, eV per atom: -0.340

=====

# 13
## YAl2AgAu2 (GGA-PBE)

Data for a relaxed YAl2AgAu2 crystal.

```
YAl2AgAu2
1.0
4.467 0.000 0.000
-2.234 3.869 0.000
0.000 0.000 6.693
Y Al Ag Au
1 2 1 2
Cartesian
0.000 0.000 0.000
0.000 2.579 4.581
2.234 1.290 2.112
0.000 0.000 3.347
0.000 2.579 1.740
2.234 1.290 4.953
```

Crystal system: trigonal
Space group: P-3m1
Formation energy from the elements, eV per atom: -0.570

=====

# 14
## TaSbNO2 (GGA-PBE)

Data for a relaxed TaSbNO2 crystal.

```
TaSbNO2
1.0
3.992 0.000 0.000
0.000 3.992 0.000
0.000 0.000 4.218
Ta Sb N O
1 1 1 2
Cartesian
0.000 0.000 0.000
1.996 1.996 2.109
0.000 0.000 2.109
0.000 1.996 0.000
1.996 0.000 0.000
```

Crystal system: tetragonal
Formation energy (no corrections), meV per atom: -1121
Space group: P4/mmm

=====

# 15
## NaMg2Si2Pd5 (GGA-PBE)

Data for a relaxed NaMg2Si2Pd5 crystal.

```
NaMg2Si2Pd5
1.0
9.730 0.000 0.000
0.000 9.730 0.000
0.000 0.000 3.520
Na Mg Si Pd
2 4 4 10
Cartesian
0.000 0.000 0.000
4.865 4.865 0.000
1.670 3.195 0.000
3.195 8.061 0.000
6.535 1.670 0.000
8.061 6.535 0.000
1.236 6.101 0.000
3.630 1.236 0.000
6.101 8.495 0.000
8.495 3.630 0.000
0.000 4.865 1.760
0.727 7.652 1.760
2.079 0.727 1.760
2.786 5.592 1.760
4.138 2.786 1.760
4.865 0.000 1.760
5.592 6.944 1.760
6.944 4.138 1.760
7.652 9.003 1.760
9.003 2.079 1.760
```

Crystal system: tetragonal
Formation energy (no corrections), meV per atom: -499
Space group: P4/mbm

=====

# 16
## La2TcBiIr (GGA-PBE)

Data for a relaxed La2TcBiIr crystal.

```
La2TcBiIr
1.0
5.309 0.000 0.000
0.000 5.309 0.000
0.000 0.000 5.121
La Tc Bi Ir
2 1 1 1
Cartesian
0.000 2.654 0.000
2.654 0.000 0.000
0.000 0.000 0.000
0.000 0.000 2.560
2.654 2.654 2.560
```

Crystal system: tetragonal
Space group: P4/mmm
Formation energy from the elements, eV per atom: 0.293

=====

# 17
## Pm2Ta3Ge4 (GGA-PBE)

Data for a relaxed Pm2Ta3Ge4 crystal.

```
Pm2Ta3Ge4
1.0
7.227 0.000 0.000
0.000 7.227 0.000
-2.374 0.000 6.723
Pm Ta Ge
4 6 8
Cartesian
1.204 1.226 0.391
0.017 2.388 3.753
4.836 4.839 2.970
3.649 6.002 6.332
1.277 4.852 1.660
0.090 5.989 5.022
2.427 0.000 3.362
3.614 3.614 0.000
4.763 1.238 1.702
3.576 2.376 5.063
-1.403 3.915 5.790
-0.216 6.926 2.429
1.517 0.955 5.823
2.704 2.659 2.461
2.150 4.568 4.262
3.337 6.273 0.901
5.069 0.301 4.294
6.256 3.313 0.933
```

Crystal system: monoclinic
Space group: P2_1/c
Formation energy from the elements, eV per atom: -0.608

=====

# 18
## ScTa4Os (GGA-PBE)

Data for a relaxed ScTa4Os crystal.

```
ScTa4Os
1.0
0.000 3.826 3.826
3.826 0.000 3.826
3.826 3.826 0.000
Sc Ta Os
1 4 1
Cartesian
0.000 0.000 0.000
4.784 2.868 2.868
2.868 4.784 2.868
2.868 2.868 4.784
4.784 4.784 4.784
1.913 1.913 1.913
```

Crystal system: cubic
Space group: F-43m
Formation energy from the elements, eV per atom: 0.214

=====

# 19
## SnP2PtCl (GGA-PBE)

Data for a relaxed SnP2PtCl crystal.

```
SnP2PtCl
1.0
4.700 0.000 0.000
0.000 4.700 0.000
0.000 0.000 5.058
Sn P Pt Cl
1 2 1 1
Cartesian
0.000 0.000 0.000
0.000 2.350 2.529
2.350 0.000 2.529
2.350 2.350 2.529
2.350 2.350 0.000
```

Crystal system: tetragonal
Formation energy (no corrections), meV per atom: 356
Energy relative to the lowest polymorph listed for this composition, meV/atom: 0.0
Space group: P4/mmm

=====

# 20
## Tb9HoMg2 (GGA-PBE)

Data for a relaxed Tb9HoMg2 crystal.

```
Tb9HoMg2
1.0
4.950 0.000 0.000
0.000 4.950 0.000
0.000 0.000 14.908
Tb Ho Mg
9 1 2
Cartesian
0.000 0.000 0.000
0.000 0.000 5.011
0.000 0.000 9.898
0.000 2.475 2.522
0.000 2.475 7.454
0.000 2.475 12.387
2.475 0.000 2.522
2.475 0.000 7.454
2.475 0.000 12.387
2.475 2.475 0.000
2.475 2.475 5.021
2.475 2.475 9.887
```

Crystal system: tetragonal
Space group: P4/mmm
Formation energy from the elements, eV per atom: 0.020

=====

# 21
## Al2Cu2Re (GGA-PBE)

Data for a relaxed Al2Cu2Re crystal.

```
Al2Cu2Re
1.0
7.017 0.000 0.000
0.000 7.017 0.000
0.000 0.000 2.724
Al Cu Re
4 4 2
Cartesian
1.249 2.259 0.000
2.259 5.768 0.000
4.758 1.249 0.000
5.768 4.758 0.000
0.849 4.357 1.362
2.660 0.849 1.362
4.357 6.168 1.362
6.168 2.660 1.362
0.000 0.000 1.362
3.508 3.508 1.362
```

Crystal system: tetragonal
Energy relative to the lowest polymorph listed for this composition, meV/atom: 0.0
Space group: P4/mbm
Formation energy from the elements, eV per atom: -0.034

=====

# 22
## LaTbSe2 (GGA-PBE)

Data for a relaxed LaTbSe2 crystal.

```
LaTbSe2
1.0
2.094 1.209 6.912
-2.094 1.209 6.912
0.000 -2.418 6.912
La Tb Se
1 1 2
Cartesian
0.000 0.000 0.000
0.000 0.000 10.368
0.000 0.000 5.066
0.000 0.000 15.670
```

Crystal system: trigonal
Formation energy (no corrections), meV per atom: -1893
Energy relative to the lowest polymorph listed for this composition, meV/atom: 0.0
Space group: R-3m

=====

# 23
## PuCdP (GGA-PBE)

Data for a relaxed PuCdP crystal.

```
PuCdP
1.0
1.806 -8.587 0.000
1.806 8.587 0.000
0.000 0.000 4.016
Pu Cd P
2 2 2
Cartesian
1.806 7.922 3.012
1.806 -7.922 1.004
1.806 3.568 1.004
1.806 -3.568 3.012
1.806 1.490 3.012
1.806 -1.490 1.004
```

Crystal system: orthorhombic
Space group: Cmcm
Formation energy from the elements, eV per atom: -0.226

=====

# 24
## SrCu2Sn2 (GGA-PBE)

Data for a relaxed SrCu2Sn2 crystal.

```
SrCu2Sn2
1.0
8.074 0.000 0.000
0.000 8.074 0.000
0.000 0.000 3.399
Sr Cu Sn
2 4 4
Cartesian
0.000 0.000 0.000
4.037 4.037 0.000
0.914 3.122 0.000
3.122 7.159 0.000
4.951 0.914 0.000
7.159 4.951 0.000
1.357 5.393 1.700
2.680 1.357 1.700
5.393 6.717 1.700
6.717 2.680 1.700
```

Crystal system: tetragonal
Space group: P4/mbm
Formation energy from the elements, eV per atom: -0.083

=====

no.,V (A^3/atom)
1,13.47
2,19.61
3,46.38
4,13.69
5,31.09
6,20.11
7,24.82
8,10.19
9,36.27
10,19.74
11,28.31
12,17.38
13,19.28
14,13.44
15,16.66
16,28.86
17,19.51
18,18.67
19,22.35
20,30.44
21,13.41
22,26.25
23,20.76
24,22.16